No. 1
## SrHgS2 (GGA-PBE)

Data for SrHgS2 after structural relaxation.

Unit cell a=8.8639 b=8.8639 c=14.7012 alpha=105.72 beta=105.72 gamma=61.91
Closest atoms and distances in Å follow each position.
Fractional positions:
Sr: 0.1148 0.6282 0.6246  6 S 2.93-3.06
Sr: 0.1233 0.1272 0.1318  6 S 2.97-3.15
Sr: 0.1272 0.1233 0.6318  6 S 2.97-3.15
Sr: 0.3718 0.8852 0.8754  6 S 2.93-3.06
Sr: 0.6282 0.1148 0.1246  6 S 2.93-3.06
Sr: 0.8728 0.8767 0.3682  6 S 2.97-3.15
Sr: 0.8767 0.8728 0.8682  6 S 2.97-3.15
Sr: 0.8852 0.3718 0.3754  6 S 2.93-3.06
Hg: 0.1212 0.3795 0.8791  2 S 2.35-2.36
Hg: 0.3554 0.6263 0.3733  2 S 2.33-2.38
Hg: 0.3737 0.6446 0.1267  2 S 2.33-2.38
Hg: 0.3795 0.1212 0.3791  2 S 2.35-2.36
Hg: 0.6205 0.8788 0.6209  2 S 2.35-2.36
Hg: 0.6263 0.3554 0.8733  2 S 2.33-2.38
Hg: 0.6446 0.3737 0.6267  2 S 2.33-2.38
Hg: 0.8788 0.6205 0.1209  2 S 2.35-2.36
S: 0.0303 0.4957 0.2605  1 Hg 2.36
S: 0.0341 0.9659 0.7500  4 Sr 2.93-2.97
S: 0.2174 0.7754 0.5065  1 Hg 2.33
S: 0.2246 0.7826 0.9935  1 Hg 2.33
S: 0.2308 0.2710 0.5096  1 Hg 2.35
S: 0.2710 0.2308 0.0096  1 Hg 2.35
S: 0.4735 0.5265 0.7500  2 Hg 2.38
S: 0.4957 0.0303 0.7605  1 Hg 2.36
S: 0.5043 0.9697 0.2395  1 Hg 2.36
S: 0.5265 0.4735 0.2500  2 Hg 2.38
S: 0.7290 0.7692 0.9904  1 Hg 2.35
S: 0.7692 0.7290 0.4904  1 Hg 2.35
S: 0.7754 0.2174 0.0065  1 Hg 2.33
S: 0.7826 0.2246 0.4935  1 Hg 2.33
S: 0.9659 0.0341 0.2500  4 Sr 2.93-2.97
S: 0.9697 0.5043 0.7395  1 Hg 2.36

Summary:
The value obtained for the uncorrected formation energy is -4.34 eV/f.u. As for the mass density: 4.84 Mg/m³.


No. 2
## SrHg4S5 (GGA-PBE)

Data for SrHg4S5 after structural relaxation.

Unit cell a=6.9369 b=6.9369 c=6.9369 alpha=102.41 beta=102.41 gamma=124.77
Closest atoms and distances in Å follow each position.
Fractional positions:
Sr: 0.0000 0.0000 0.0000  5 S 3.01-3.06
Hg: 0.2239 0.6251 0.8094  4 S 2.63-2.75
Hg: 0.4145 0.2239 0.5987  4 S 2.63-2.75
Hg: 0.6251 0.8157 0.4013  4 S 2.63-2.75
Hg: 0.8157 0.4145 0.1906  4 S 2.63-2.75
S: 0.0467 0.2472 0.4395  3 Hg 2.63-2.66
S: 0.2472 0.8077 0.2004  3 Hg 2.63-2.66
S: 0.4759 0.4759 0.0000  4 Hg 2.75, 1 Sr 3.06
S: 0.6072 0.0467 0.7996  3 Hg 2.63-2.66
S: 0.8077 0.6072 0.5605  3 Hg 2.63-2.66

Summary:
The value obtained for the uncorrected formation energy is -4.04 eV/f.u. As for the mass density: 7.18 Mg/m³.


No. 3
## Sr2HgS2 (GGA-PBE)

Data for Sr2HgS2 after structural relaxation.

Unit cell a=8.3759 b=8.3759 c=3.8047 alpha=90.00 beta=90.00 gamma=90.00
Closest atoms and distances in Å follow each position.
Fractional positions:
Sr: 0.1541 0.3459 0.0000  6 S 3.03-3.16
Sr: 0.3459 0.8459 0.0000  6 S 3.03-3.16
Sr: 0.6541 0.1541 0.0000  6 S 3.03-3.16
Sr: 0.8459 0.6541 0.0000  6 S 3.03-3.16
Hg: 0.0000 0.0000 0.5000  4 S 3.20
Hg: 0.5000 0.5000 0.5000  4 S 3.20
S: 0.1471 0.6471 0.5000  6 Sr 3.03-3.16, 2 Hg 3.20
S: 0.3529 0.1471 0.5000  6 Sr 3.03-3.16, 2 Hg 3.20
S: 0.6471 0.8529 0.5000  6 Sr 3.03-3.16, 2 Hg 3.20
S: 0.8529 0.3529 0.5000  6 Sr 3.03-3.16, 2 Hg 3.20

Summary:
The value obtained for the uncorrected formation energy is -7.22 eV/f.u. As for the mass density: 5.47 Mg/m³. The relative energy among the computed polymorphs comes out at 0 meV/atom.


No. 4
## SrHgS2 (GGA-PBE)

Data for SrHgS2 after structural relaxation.

Unit cell a=4.1424 b=4.1424 c=5.8468 alpha=90.00 beta=90.00 gamma=90.00
Closest atoms and distances in Å follow each position.
Fractional positions:
Sr: 0.0000 0.0000 0.0000  6 S 2.92-2.93
Hg: 0.5000 0.5000 0.5000  6 S 2.92-2.93
S: 0.0000 0.0000 0.5000  2 Sr 2.92, 4 Hg 2.93
S: 0.5000 0.5000 0.0000  2 Hg 2.92, 4 Sr 2.93

Summary:
The value obtained for the uncorrected formation energy is -4.02 eV/f.u. As for the mass density: 5.83 Mg/m³.


No. 5
## SrHgS2 (GGA-PBE)

Data for SrHgS2 after structural relaxation.

Unit cell a=6.2552 b=6.2552 c=6.2552 alpha=109.03 beta=109.03 gamma=110.35
Closest atoms and distances in Å follow each position.
Fractional positions:
Sr: 0.2500 0.2500 0.0000  8 S 3.19, 2 Sr 3.57
Sr: 0.7500 0.7500 0.0000  8 S 3.19, 2 Sr 3.57
Hg: 0.2500 0.7500 0.5000  4 S 2.64
Hg: 0.7500 0.2500 0.5000  4 S 2.64
S: 0.1889 0.6889 0.8777  2 Hg 2.64
S: 0.3111 0.1889 0.5000  2 Hg 2.64
S: 0.6889 0.8111 0.5000  2 Hg 2.64
S: 0.8111 0.3111 0.1223  2 Hg 2.64

Summary:
The value obtained for the uncorrected formation energy is -4.01 eV/f.u. As for the mass density: 6.21 Mg/m³.


No. 6
## Sr3HgS (GGA-PBE)

Data for Sr3HgS after structural relaxation.

Unit cell a=5.7594 b=5.7594 c=5.7594 alpha=90.00 beta=90.00 gamma=90.00
Closest atoms and distances in Å follow each position.
Fractional positions:
Sr: 0.0000 0.0000 0.5000  2 S 2.88
Sr: 0.0000 0.5000 0.0000  2 S 2.88
Sr: 0.5000 0.0000 0.0000  2 S 2.88
Hg: 0.5000 0.5000 0.5000  12 Sr 4.07
S: 0.0000 0.0000 0.0000  6 Sr 2.88

Summary:
The value obtained for the uncorrected formation energy is -4.28 eV/f.u. As for the mass density: 4.31 Mg/m³. The relative energy among the computed polymorphs comes out at 0 meV/atom.


No. 7
## SrHgS2 (GGA-PBE)

Data for SrHgS2 after structural relaxation.

Unit cell a=6.9999 b=6.1503 c=6.9760 alpha=64.09 beta=52.22 gamma=63.69
Closest atoms and distances in Å follow each position.
Fractional positions:
Sr: 0.0000 0.0000 0.0000  6 S 2.94-3.12
Sr: 0.2500 0.2500 0.2500  6 S 2.94-3.12
Hg: 0.4577 0.4577 0.5423  4 S 2.58-2.72
Hg: 0.7077 0.7077 0.7923  4 S 2.58-2.72
S: 0.0009 0.5236 0.9626  2 Hg 2.58-2.72
S: 0.2874 0.7371 0.2491  2 Hg 2.58-2.72
S: 0.5236 0.0009 0.5129  2 Hg 2.58-2.72
S: 0.7371 0.2874 0.7264  2 Hg 2.58-2.72

Summary:
The value obtained for the uncorrected formation energy is -4.18 eV/f.u. As for the mass density: 5.66 Mg/m³.


No. 8
## SrHgS2 (GGA-PBE)

Data for SrHgS2 after structural relaxation.

Unit cell a=7.9366 b=7.9366 c=7.9366 alpha=33.98 beta=33.98 gamma=33.98
Closest atoms and distances in Å follow each position.
Fractional positions:
Sr: 0.0000 0.0000 0.0000  6 S 3.02
Hg: 0.5000 0.5000 0.5000  2 S 2.33
S: 0.3960 0.3960 0.3960  1 Hg 2.33
S: 0.6040 0.6040 0.6040  1 Hg 2.33

Summary:
The value obtained for the uncorrected formation energy is -4.52 eV/f.u. As for the mass density: 4.20 Mg/m³.


No. 9
## Sr2HgS3 (GGA-PBE)

Data for Sr2HgS3 after structural relaxation.

Unit cell a=8.8321 b=4.1840 c=16.9768 alpha=90.00 beta=90.00 gamma=90.00
Closest atoms and distances in Å follow each position.
Fractional positions:
Sr: 0.0956 0.2500 0.2204  7 S 3.09-3.30
Sr: 0.2139 0.2500 0.9534  6 S 2.99-3.06
Sr: 0.2861 0.7500 0.4534  6 S 2.99-3.06
Sr: 0.4044 0.7500 0.7204  7 S 3.09-3.30
Sr: 0.5956 0.2500 0.2796  7 S 3.09-3.30
Sr: 0.7139 0.2500 0.5466  6 S 2.99-3.06
Sr: 0.7861 0.7500 0.0466  6 S 2.99-3.06
Sr: 0.9044 0.7500 0.7796  7 S 3.09-3.30
Hg: 0.1055 0.2500 0.6232  4 S 2.54-2.63
Hg: 0.3945 0.7500 0.1232  4 S 2.54-2.63
Hg: 0.6055 0.2500 0.8768  4 S 2.54-2.63
Hg: 0.8945 0.7500 0.3768  4 S 2.54-2.63
S: 0.0580 0.2500 0.4016  2 Hg 2.58
S: 0.1249 0.7500 0.0706  1 Hg 2.54
S: 0.1655 0.2500 0.7748  1 Hg 2.63
S: 0.3345 0.7500 0.2748  1 Hg 2.63
S: 0.3751 0.2500 0.5706  1 Hg 2.54
S: 0.4420 0.7500 0.9016  2 Hg 2.58
S: 0.5580 0.2500 0.0984  2 Hg 2.58
S: 0.6249 0.7500 0.4294  1 Hg 2.54
S: 0.6655 0.2500 0.7252  1 Hg 2.63
S: 0.8345 0.7500 0.2252  1 Hg 2.63
S: 0.8751 0.2500 0.9294  1 Hg 2.54
S: 0.9420 0.7500 0.5984  2 Hg 2.58

Summary:
The value obtained for the uncorrected formation energy is -8.48 eV/f.u. As for the mass density: 5.00 Mg/m³.


No. 10
## SrHgS2 (GGA-PBE)

Data for SrHgS2 after structural relaxation.

Unit cell a=7.2040 b=7.2040 c=4.0824 alpha=90.07 beta=90.07 gamma=99.14
Closest atoms and distances in Å follow each position.
Fractional positions:
Sr: 0.2114 0.7886 0.0000  7 S 3.10-3.20
Sr: 0.7886 0.2114 0.0000  7 S 3.10-3.20
Hg: 0.2835 0.2835 0.5010  2 S 2.40
Hg: 0.6986 0.6986 0.5039  3 S 2.46-2.55
S: 0.0452 0.4819 0.4998  1 Hg 2.40
S: 0.4819 0.0452 0.4998  1 Hg 2.40
S: 0.5354 0.5354 0.0018  2 Hg 2.54-2.55
S: 0.9618 0.9618 0.4998  1 Hg 2.46

Summary:
The value obtained for the uncorrected formation energy is -4.50 eV/f.u. As for the mass density: 5.59 Mg/m³.


No. 11
## SrHgS2 (GGA-PBE)

Data for SrHgS2 after structural relaxation.

Unit cell a=9.4108 b=9.4108 c=5.7448 alpha=90.00 beta=90.00 gamma=75.24
Closest atoms and distances in Å follow each position.
Fractional positions:
Sr: 0.1250 0.3750 0.2500  8 S 3.07
Sr: 0.3750 0.1250 0.7500  8 S 3.07
Sr: 0.6250 0.8750 0.2500  8 S 3.07
Sr: 0.8750 0.6250 0.7500  8 S 3.07
Hg: 0.1304 0.8696 0.7669  2 Sr 3.73, 8 S 3.84-3.98, 3 Hg 3.98-4.02
Hg: 0.3696 0.6304 0.2669  2 Sr 3.73, 8 S 3.84-3.98, 3 Hg 3.98-4.02
Hg: 0.6304 0.3696 0.7331  2 Sr 3.73, 8 S 3.84-3.98, 3 Hg 3.98-4.02
Hg: 0.8696 0.1304 0.2331  2 Sr 3.73, 8 S 3.84-3.98, 3 Hg 3.98-4.02
S: 0.0529 0.3028 0.7499  1 S 2.15
S: 0.1972 0.4471 0.7501  1 S 2.15
S: 0.3028 0.0529 0.2501  1 S 2.15
S: 0.4471 0.1972 0.2499  1 S 2.15
S: 0.5529 0.8028 0.7501  1 S 2.15
S: 0.6972 0.9471 0.7499  1 S 2.15
S: 0.8028 0.5529 0.2499  1 S 2.15
S: 0.9471 0.6972 0.2501  1 S 2.15

Summary:
The value obtained for the uncorrected formation energy is -3.85 eV/f.u. As for the mass density: 4.76 Mg/m³.


No. 12
## SrHgS2 (GGA-PBE)

Data for SrHgS2 after structural relaxation.

Unit cell a=4.6216 b=6.1058 c=8.4109 alpha=90.00 beta=94.78 gamma=90.00
Closest atoms and distances in Å follow each position.
Fractional positions:
Sr: 0.2162 0.0000 0.3693  6 S 2.97-3.10
Sr: 0.7838 0.5000 0.6307  6 S 2.97-3.10
Hg: 0.3320 0.5190 0.1204  2 S 2.38-2.42
Hg: 0.6680 0.0190 0.8796  2 S 2.38-2.42
S: 0.2494 0.4937 0.4003  1 Hg 2.42
S: 0.3207 0.4137 0.8478  1 Hg 2.38
S: 0.6793 0.9137 0.1522  1 Hg 2.38
S: 0.7506 0.9937 0.5997  1 Hg 2.42

Summary:
The value obtained for the uncorrected formation energy is -4.40 eV/f.u. As for the mass density: 4.95 Mg/m³.


What did the third record say?
## Sr2HgS2 (GGA-PBE)

Data for Sr2HgS2 after structural relaxation.

Unit cell a=8.3759 b=8.3759 c=3.8047 alpha=90.00 beta=90.00 gamma=90.00
Closest atoms and distances in Å follow each position.
Fractional positions:
Sr: 0.1541 0.3459 0.0000  6 S 3.03-3.16
Sr: 0.3459 0.8459 0.0000  6 S 3.03-3.16
Sr: 0.6541 0.1541 0.0000  6 S 3.03-3.16
Sr: 0.8459 0.6541 0.0000  6 S 3.03-3.16
Hg: 0.0000 0.0000 0.5000  4 S 3.20
Hg: 0.5000 0.5000 0.5000  4 S 3.20
S: 0.1471 0.6471 0.5000  6 Sr 3.03-3.16, 2 Hg 3.20
S: 0.3529 0.1471 0.5000  6 Sr 3.03-3.16, 2 Hg 3.20
S: 0.6471 0.8529 0.5000  6 Sr 3.03-3.16, 2 Hg 3.20
S: 0.8529 0.3529 0.5000  6 Sr 3.03-3.16, 2 Hg 3.20

Summary:
The value obtained for the uncorrected formation energy is -7.22 eV/f.u. As for the mass density: 5.47 Mg/m³. The relative energy among the computed polymorphs comes out at 0 meV/atom.


Question: Among the records above, which one has the highest mass density?
Answer: SrHg4S5


Question: Among the records above, which one has the lowest mass density?
Answer: number 8